Material: AcErGa
Method: DFT, GGA-PBE
State: optimized geometry

Unit cell a=3.692 b=3.692 c=7.173 alpha=104.91 beta=104.91 gamma=90.00
Sites, in units of the cell vectors:
Ac 0.016 0.016 0.033
Ga 0.682 0.682 0.365
Er 0.301 0.301 0.603

Crystal system: tetragonal
E (eV per cell): -12.6

---

Material: BeP3
Method: DFT, GGA-PBE
State: optimized geometry

Unit cell a=4.084 b=9.145 c=6.994 alpha=90.00 beta=90.00 gamma=90.00
Sites, in units of the cell vectors:
P 0.250 0.942 0.750
P 0.750 0.558 0.250
P 0.250 0.442 0.750
P 0.750 0.058 0.250
P 0.750 0.198 0.991
P 0.250 0.302 0.009
P 0.750 0.698 0.509
P 0.250 0.802 0.491
P 0.250 0.802 0.009
P 0.750 0.698 0.991
P 0.250 0.302 0.491
P 0.750 0.198 0.509
Be 0.750 0.048 0.750
Be 0.250 0.452 0.250
Be 0.750 0.548 0.750
Be 0.250 0.952 0.250

Crystal system: orthorhombic
E (eV per cell): -82.2

---

Material: Na2SrI4
Method: DFT, GGA-PBE
State: optimized geometry

Unit cell a=6.432 b=6.432 c=9.473 alpha=109.85 beta=109.85 gamma=90.00
Sites, in units of the cell vectors:
I 0.808 0.808 0.617
I 0.192 0.192 0.383
I 0.000 0.500 0.000
I 0.500 0.000 0.000
Sr 0.000 0.000 0.000
Na 0.631 0.631 0.263
Na 0.369 0.369 0.737

Energy relative to the elements, uncorrected (eV/atom): -1.272
Crystal system: tetragonal
E (eV per cell): -19.4

---

Material: HfNF3
Method: DFT, GGA-PBE
State: optimized geometry

Unit cell a=3.933 b=3.933 c=3.933 alpha=90.00 beta=90.00 gamma=90.00
Each line ends with the local moment (μB).
Sites, in units of the cell vectors:
N 0.000 0.000 0.000  0.01
Hf 0.500 0.500 0.500  -1.04
F 0.000 0.500 0.000  -0.03
F 0.000 0.000 0.500  -0.03
F 0.500 0.000 0.000  -0.01

Energy relative to the elements, uncorrected (eV/atom): 0.165
Crystal system: cubic
E (eV per cell): -23.1

---

Material: ScZnSCl2
Method: DFT, GGA-PBE
State: optimized geometry

Unit cell a=4.929 b=4.929 c=5.108 alpha=90.00 beta=90.00 gamma=90.00
Sites, in units of the cell vectors:
Sc 0.000 0.000 0.000
Zn 0.500 0.500 0.500
S 0.000 0.000 0.500
Cl 0.000 0.500 0.000
Cl 0.500 0.000 0.000

Energy relative to the elements, uncorrected (eV/atom): -1.045
Crystal system: tetragonal
E (eV per cell): -20.7

---

Material: TaAgHg
Method: DFT, GGA-PBE
State: optimized geometry

Unit cell a=4.473 b=4.473 c=4.473 alpha=60.00 beta=60.00 gamma=60.00
Sites, in units of the cell vectors:
Hg 0.000 0.000 0.000
Ag 0.250 0.250 0.250
Ta 0.500 0.500 0.500

Crystal system: cubic
E (eV per cell): -12.5

---

Material: LiZrSe2
Method: DFT, GGA-PBE
State: optimized geometry

Unit cell a=7.131 b=7.131 c=7.131 alpha=151.57 beta=150.34 gamma=41.55
Each line ends with the local moment (μB).
Sites, in units of the cell vectors:
Li 0.726 0.226 0.500  0.01
Se 0.035 0.035 0.000  0.00
Se 0.293 0.793 0.500  -0.01
Zr 0.446 0.446 0.000  0.28

Energy relative to the elements, uncorrected (eV/atom): -1.204
Crystal system: orthorhombic
E (eV per cell): -22.2

---

Material: Sm2ScGa
Method: DFT, GGA-PBE
State: optimized geometry

Unit cell a=3.563 b=3.563 c=8.548 alpha=90.00 beta=90.00 gamma=90.00
Sites, in units of the cell vectors:
Sc 0.500 0.500 0.500
Ga 0.500 0.500 0.000
Sm 0.000 0.000 0.779
Sm 0.000 0.000 0.221

Crystal system: tetragonal
E (eV per cell): -19.7

---

Material: Tb3SiTe2
Method: DFT, GGA-PBE
State: optimized geometry

Unit cell a=7.407 b=7.467 c=7.467 alpha=119.19 beta=99.80 gamma=99.80
Sites, in units of the cell vectors:
Tb 0.005 0.212 0.358
Tb 0.505 0.358 0.212
Tb 0.000 0.500 0.000
Tb 0.995 0.788 0.642
Tb 0.500 0.000 0.500
Tb 0.495 0.642 0.788
Si 0.250 0.590 0.410
Si 0.750 0.410 0.590
Te 0.250 0.919 0.081
Te 0.250 0.241 0.759
Te 0.750 0.081 0.919
Te 0.750 0.759 0.241

Energy relative to the elements, uncorrected (eV/atom): -1.224
Crystal system: monoclinic
E (eV per cell): -65.9

---

Material: LiPtW2
Method: DFT, GGA-PBE
State: optimized geometry

Unit cell a=5.050 b=5.050 c=5.050 alpha=136.89 beta=136.89 gamma=62.60
Sites, in units of the cell vectors:
Li 0.250 0.750 0.500
Pt 0.750 0.250 0.500
W 0.000 0.000 0.000
W 0.500 0.500 0.000

Crystal system: tetragonal
E (eV per cell): -33.6

---

Material: NaLiCa2P
Method: DFT, GGA-PBE
State: optimized geometry

Unit cell a=5.618 b=5.618 c=4.959 alpha=90.00 beta=90.00 gamma=90.00
Sites, in units of the cell vectors:
P 0.000 0.000 0.000
Ca 0.000 0.500 0.000
Ca 0.500 0.000 0.000
Li 0.000 0.000 0.500
Na 0.500 0.500 0.500

Crystal system: tetragonal
E (eV per cell): -14.8

---

Material: LiFeAs2Br
Method: DFT, GGA-PBE
State: optimized geometry

Unit cell a=4.402 b=4.402 c=6.675 alpha=90.00 beta=90.00 gamma=90.00
Each line ends with the local moment (μB).
Sites, in units of the cell vectors:
As 0.000 0.500 0.000  -0.03
As 0.500 0.000 0.000  -0.03
Fe 0.000 0.000 0.000  1.56
Br 0.000 0.000 0.500  0.07
Li 0.500 0.500 0.500  0.00

Energy relative to the elements, uncorrected (eV/atom): -0.058
Crystal system: tetragonal
E (eV per cell): -21.6

---

Material: MgSc2Ni
Method: DFT, GGA-PBE
State: optimized geometry

Unit cell a=7.625 b=7.625 c=6.108 alpha=51.37 beta=51.37 gamma=90.00
Sites, in units of the cell vectors:
Sc 0.688 0.125 0.250
Sc 0.062 0.625 0.250
Sc 0.375 0.312 0.750
Sc 0.875 0.938 0.750
Ni 0.000 0.000 0.000
Ni 0.750 0.250 0.500
Mg 0.500 0.500 0.000
Mg 0.250 0.750 0.500

Crystal system: tetragonal
E (eV per cell): -39.6

---

Material: Ce7Ga3Ru2
Method: DFT, GGA-PBE
State: optimized geometry

Unit cell a=5.063 b=5.096 c=12.961 alpha=101.34 beta=90.00 gamma=90.00
Each line ends with the local moment (μB).
Sites, in units of the cell vectors:
Ce 0.000 0.380 0.760  0.27
Ce 0.000 0.778 0.555  0.67
Ce 0.000 0.000 0.000  0.66
Ce 0.000 0.620 0.240  0.27
Ce 0.500 0.088 0.175  0.41
Ce 0.500 0.912 0.825  0.41
Ce 0.000 0.222 0.445  0.67
Ga 0.500 0.500 0.000  -0.03
Ga 0.500 0.695 0.390  -0.02
Ga 0.500 0.305 0.610  -0.02
Ru 0.000 0.890 0.780  -0.05
Ru 0.000 0.110 0.220  -0.05

Crystal system: orthorhombic
E (eV per cell): -71.2

---

Material: Li6AlZn5
Method: DFT, GGA-PBE
State: optimized geometry

Unit cell a=3.689 b=6.190 c=8.465 alpha=90.00 beta=90.00 gamma=72.41
Sites, in units of the cell vectors:
Zn 0.666 0.667 0.500
Zn 0.332 0.337 0.000
Zn 0.000 0.000 0.500
Zn 0.668 0.663 0.000
Zn 0.334 0.333 0.500
Al 0.000 0.000 0.000
Li 0.834 0.333 0.253
Li 0.834 0.333 0.747
Li 0.500 0.000 0.746
Li 0.500 0.000 0.254
Li 0.166 0.667 0.253
Li 0.166 0.667 0.747

Crystal system: monoclinic
E (eV per cell): -23.4

---

Material: DySc3Ga2
Method: DFT, GGA-PBE
State: optimized geometry

Unit cell a=4.416 b=8.640 c=8.803 alpha=120.65 beta=90.00 gamma=104.81
Sites, in units of the cell vectors:
Dy 0.874 0.748 0.874
Dy 0.126 0.252 0.126
Sc 0.329 0.657 0.522
Sc 0.999 0.999 0.669
Sc 0.671 0.341 0.864
Sc 0.329 0.659 0.136
Sc 0.001 0.001 0.331
Sc 0.671 0.343 0.478
Ga 0.500 0.000 0.856
Ga 0.500 0.000 0.144
Ga 0.794 0.589 0.294
Ga 0.206 0.411 0.706

Crystal system: monoclinic
E (eV per cell): -64.1

---

Material: CdTc2Ru
Method: DFT, GGA-PBE
State: optimized geometry

Unit cell a=2.801 b=2.801 c=8.022 alpha=90.00 beta=90.00 gamma=90.00
Sites, in units of the cell vectors:
Cd 0.000 0.000 0.505
Ru 0.500 0.500 0.776
Tc 0.000 0.000 0.992
Tc 0.500 0.500 0.227

Crystal system: tetragonal
E (eV per cell): -30.0

---

Material: Ni2TeW
Method: DFT, GGA-PBE
State: optimized geometry

Unit cell a=5.036 b=5.036 c=5.036 alpha=142.59 beta=128.22 gamma=65.61
Sites, in units of the cell vectors:
Ni 0.993 0.993 0.000
Ni 0.507 0.507 0.000
Te 0.750 0.250 0.500
W 0.250 0.750 0.500

Energy relative to the elements, uncorrected (eV/atom): 0.518
Crystal system: orthorhombic
E (eV per cell): -25.6

---

Material: Na3Er2TiS6
Method: DFT, GGA-PBE
State: optimized geometry

Unit cell a=6.651 b=6.651 c=7.030 alpha=99.08 beta=99.08 gamma=119.99
Each line ends with the local moment (μB).
Sites, in units of the cell vectors:
Na 0.169 0.831 0.500  0.00
Na 0.831 0.169 0.500  0.00
Na 0.500 0.500 0.500  0.00
Er 0.333 0.667 0.000  0.03
Er 0.667 0.333 0.000  0.03
Ti 0.000 0.000 0.000  0.81
S 0.926 0.610 0.779  -0.01
S 0.759 0.759 0.218  -0.01
S 0.074 0.390 0.221  -0.01
S 0.610 0.926 0.779  -0.01
S 0.241 0.241 0.782  -0.01
S 0.390 0.074 0.221  -0.01

Energy relative to the elements, uncorrected (eV/atom): -1.647
Crystal system: monoclinic
E (eV per cell): -65.5

---

Material: LaYW2
Method: DFT, GGA-PBE
State: optimized geometry

Unit cell a=3.422 b=4.831 c=5.161 alpha=90.00 beta=90.00 gamma=90.00
Sites, in units of the cell vectors:
La 0.000 0.500 0.500
W 0.000 0.000 0.000
W 0.500 0.500 0.000
Y 0.500 0.000 0.500

Crystal system: orthorhombic
E (eV per cell): -33.9

---

Material: Ca4CdRh
Method: DFT, GGA-PBE
State: optimized geometry

Unit cell a=6.263 b=9.029 c=8.179 alpha=115.15 beta=101.52 gamma=109.38
Sites, in units of the cell vectors:
Ca 0.066 0.207 0.851
Ca 0.783 0.725 0.665
Ca 0.286 0.644 0.851
Ca 0.382 0.940 0.665
Ca 0.618 0.060 0.335
Ca 0.714 0.356 0.149
Ca 0.217 0.275 0.335
Ca 0.934 0.793 0.149
Cd 0.378 0.628 0.256
Cd 0.622 0.372 0.744
Rh 0.249 0.999 0.999
Rh 0.751 0.001 0.001

Crystal system: monoclinic
E (eV per cell): -36.6

---

Material: PmZn3Pt
Method: DFT, GGA-PBE
State: optimized geometry

Unit cell a=5.705 b=6.511 c=5.716 alpha=116.04 beta=90.00 gamma=90.00
Sites, in units of the cell vectors:
Pm 0.250 0.502 0.751
Pm 0.750 0.498 0.249
Zn 0.500 0.000 0.258
Zn 0.500 0.000 0.742
Zn 0.000 0.000 0.258
Zn 0.000 0.000 0.742
Zn 0.250 0.266 0.133
Zn 0.750 0.734 0.867
Pt 0.250 0.702 0.351
Pt 0.750 0.298 0.649

Crystal system: orthorhombic
E (eV per cell): -34.9

---

Material: ZrReIO2
Method: DFT, GGA-PBE
State: optimized geometry

Unit cell a=3.884 b=3.884 c=6.413 alpha=90.00 beta=90.00 gamma=90.00
Each line ends with the local moment (μB).
Sites, in units of the cell vectors:
I 0.000 0.000 0.500  0.00
Re 0.000 0.000 0.000  0.02
O 0.000 0.500 0.000  0.01
O 0.500 0.000 0.000  0.01
Zr 0.500 0.500 0.500  0.26

Energy relative to the elements, uncorrected (eV/atom): -0.242
Crystal system: tetragonal
E (eV per cell): -33.7

---

Material: BaSr2Ag2Sn2
Method: DFT, GGA-PBE
State: optimized geometry

Unit cell a=5.081 b=5.081 c=10.786 alpha=76.38 beta=76.38 gamma=60.00
Sites, in units of the cell vectors:
Ba 0.000 0.000 0.000
Sr 0.127 0.127 0.619
Sr 0.873 0.873 0.381
Ag 0.592 0.592 0.223
Ag 0.408 0.408 0.777
Sn 0.745 0.745 0.764
Sn 0.255 0.255 0.236

Crystal system: trigonal
E (eV per cell): -22.4

---

Material: Li4Zn3Ga4
Method: DFT, GGA-PBE
State: optimized geometry

Unit cell a=4.654 b=5.424 c=8.356 alpha=108.94 beta=106.17 gamma=90.00
Sites, in units of the cell vectors:
Li 0.311 0.060 0.622
Li 0.689 0.438 0.378
Li 0.689 0.940 0.378
Li 0.311 0.562 0.622
Zn 0.117 0.117 0.234
Zn 0.883 0.883 0.766
Zn 0.000 0.500 0.000
Ga 0.163 0.663 0.326
Ga 0.837 0.337 0.674
Ga 0.500 0.759 0.000
Ga 0.500 0.241 0.000

Crystal system: orthorhombic
E (eV per cell): -24.0